#1
# La2Nd3Dy2 (PBE, optimized geometry)
data_La2Nd3Dy2
_cell_length_a 3.673
_cell_length_b 10.999
_cell_length_c 8.169
_cell_angle_alpha 94.21
_cell_angle_beta 47.56
_cell_angle_gamma 90.02
_symmetry_space_group_name_H-M 'P 1'
_symmetry_Int_Tables_number 1
loop_
_symmetry_equiv_pos_as_xyz
'x,y,z'
loop_
_atom_site_label
_atom_site_type_symbol
_atom_site_fract_x
_atom_site_fract_y
_atom_site_fract_z
La1 La 0.852 0.855 0.432
La2 La 0.148 0.145 0.568
Nd1 Nd 0.000 0.000 0.000
Nd2 Nd 0.575 0.570 0.284
Nd3 Nd 0.425 0.430 0.716
Dy1 Dy 0.710 0.712 0.860
Dy2 Dy 0.290 0.288 0.140
# Space group: No. 12
# Density of states at the Fermi level, states/eV/cell: 10.2
# Volume, Å³ per cell: 242.4

***

#2
# La2Nd3Dy2 (PBE, optimized geometry)
data_La2Nd3Dy2
_cell_length_a 3.575
_cell_length_b 8.729
_cell_length_c 9.156
_cell_angle_alpha 118.35
_cell_angle_beta 101.26
_cell_angle_gamma 90.00
_symmetry_space_group_name_H-M 'P 1'
_symmetry_Int_Tables_number 1
loop_
_symmetry_equiv_pos_as_xyz
'x,y,z'
loop_
_atom_site_label
_atom_site_type_symbol
_atom_site_fract_x
_atom_site_fract_y
_atom_site_fract_z
La1 La 0.564 0.912 0.129
La2 La 0.436 0.088 0.871
Nd1 Nd 0.213 0.795 0.426
Nd2 Nd 0.787 0.205 0.574
Nd3 Nd 0.000 0.500 0.000
Dy1 Dy 0.850 0.662 0.699
Dy2 Dy 0.150 0.338 0.301
# Space group: No. 12
# Density of states at the Fermi level, states/eV/cell: 11.5
# Volume, Å³ per cell: 245.2

***

How do the energies compare? Relative to the most stable structure, in eV/atom: #1 0.000; #2 0.103.

***

#1
# La4Nd6Dy (PBE, optimized geometry)
data_La4Nd6Dy
_cell_length_a 9.695
_cell_length_b 9.695
_cell_length_c 9.695
_cell_angle_alpha 60.95
_cell_angle_beta 137.97
_cell_angle_gamma 137.97
_symmetry_space_group_name_H-M 'P 1'
_symmetry_Int_Tables_number 1
loop_
_symmetry_equiv_pos_as_xyz
'x,y,z'
loop_
_atom_site_label
_atom_site_type_symbol
_atom_site_fract_x
_atom_site_fract_y
_atom_site_fract_z
La1 La 0.375 0.367 0.367
La2 La 0.000 0.633 0.008
La3 La 0.000 0.008 0.633
La4 La 0.625 0.992 0.992
Nd1 Nd 0.500 0.000 0.500
Nd2 Nd 0.000 0.781 0.445
Nd3 Nd 0.500 0.500 0.000
Nd4 Nd 0.336 0.555 0.555
Nd5 Nd 0.000 0.445 0.781
Nd6 Nd 0.664 0.219 0.219
Dy1 Dy 0.000 0.000 0.000
# Space group: No. 121
# Density of states at the Fermi level, states/eV/cell: 17.5
# Volume, Å³ per cell: 404.0

***

#2
# La4Nd6Dy (PBE, optimized geometry)
data_La4Nd6Dy
_cell_length_a 6.811
_cell_length_b 6.811
_cell_length_c 9.777
_cell_angle_alpha 110.39
_cell_angle_beta 110.39
_cell_angle_gamma 90.00
_symmetry_space_group_name_H-M 'P 1'
_symmetry_Int_Tables_number 1
loop_
_symmetry_equiv_pos_as_xyz
'x,y,z'
loop_
_atom_site_label
_atom_site_type_symbol
_atom_site_fract_x
_atom_site_fract_y
_atom_site_fract_z
Nd1 Nd 0.505 0.505 0.641
Nd2 Nd 0.136 0.136 0.641
Nd3 Nd 0.864 0.495 0.359
Nd4 Nd 0.500 0.000 0.000
Nd5 Nd 0.000 0.500 0.000
Nd6 Nd 0.495 0.864 0.359
La1 La 0.961 0.961 0.246
La2 La 0.284 0.284 0.246
La3 La 0.039 0.716 0.754
La4 La 0.716 0.039 0.754
Dy1 Dy 0.500 0.500 0.000
# Space group: No. 121
# Density of states at the Fermi level, states/eV/cell: 16.2
# Volume, Å³ per cell: 394.7

***

How do the energies compare? Relative to the most stable structure, in eV/atom: #1 0.017; #2 0.000.

***

#1
# La2Nd6Dy (PBE, optimized geometry)
data_La2Nd6Dy
_cell_length_a 11.046
_cell_length_b 5.209
_cell_length_c 12.236
_cell_angle_alpha 64.80
_cell_angle_beta 90.00
_cell_angle_gamma 90.00
_symmetry_space_group_name_H-M 'P 1'
_symmetry_Int_Tables_number 1
loop_
_symmetry_equiv_pos_as_xyz
'x,y,z'
loop_
_atom_site_label
_atom_site_type_symbol
_atom_site_fract_x
_atom_site_fract_y
_atom_site_fract_z
Nd1 Nd 0.500 0.167 0.333
Nd2 Nd 0.000 0.167 0.833
Nd3 Nd 0.000 0.833 0.167
Nd4 Nd 0.500 0.833 0.667
Nd5 Nd 0.333 0.833 0.167
Nd6 Nd 0.167 0.500 0.000
Nd7 Nd 0.667 0.500 0.500
Nd8 Nd 0.667 0.167 0.833
Nd9 Nd 0.833 0.500 0.000
Nd10 Nd 0.167 0.833 0.667
Nd11 Nd 0.333 0.500 0.500
Nd12 Nd 0.833 0.167 0.333
Dy1 Dy 0.000 0.500 0.500
Dy2 Dy 0.500 0.500 0.000
La1 La 0.165 0.165 0.335
La2 La 0.335 0.165 0.835
La3 La 0.665 0.835 0.165
La4 La 0.835 0.835 0.665
# Space group: No. 58
# Density of states at the Fermi level, states/eV/cell: 31.0
# Volume, Å³ per cell: 637.0

***

#2
# La2Nd6Dy (PBE, optimized geometry)
data_La2Nd6Dy
_cell_length_a 3.674
_cell_length_b 3.674
_cell_length_c 27.432
_cell_angle_alpha 90.00
_cell_angle_beta 90.00
_cell_angle_gamma 120.00
_symmetry_space_group_name_H-M 'P 1'
_symmetry_Int_Tables_number 1
loop_
_symmetry_equiv_pos_as_xyz
'x,y,z'
loop_
_atom_site_label
_atom_site_type_symbol
_atom_site_fract_x
_atom_site_fract_y
_atom_site_fract_z
La1 La 0.667 0.333 0.671
La2 La 0.667 0.333 0.329
Nd1 Nd 0.333 0.667 0.215
Nd2 Nd 0.333 0.667 0.785
Nd3 Nd 0.667 0.333 0.106
Nd4 Nd 0.667 0.333 0.894
Nd5 Nd 0.333 0.667 0.438
Nd6 Nd 0.333 0.667 0.562
Dy1 Dy 0.333 0.667 0.000
# Space group: No. 187
# Density of states at the Fermi level, states/eV/cell: 16.1
# Volume, Å³ per cell: 320.6

***

How do the energies compare? Relative to the most stable structure, in eV/atom: #1 0.000; #2 0.040.